YMo2Os: relaxed, GGA-PBE.

Summary:
The distance to the lowest polymorph of the same formula comes out at 0.1049 eV/atom. The calculation puts the formation energy at 0.287 eV per atom. As for the density of states at the Fermi level: 0.82 states/eV/atom. The space-group type is No. 8.

a = 5.4213 Å, b = 5.4213 Å, c = 4.8315 Å
α = 116.30°, β = 116.30°, γ = 34.28°
Atoms (fractional coordinates):
Y 0.0000 0.0000 0.0000
Mo 0.4977 0.4977 0.4977
Mo 0.7705 0.7705 0.2711
Os 0.2328 0.2328 0.7323